Computed, not measured: a geometry-optimized KNa2InHg4 structure at the GGA-PBE level of DFT.

Output
As for the formation energy: -0.1887 eV/atom. As for the total energy: -27.572 eV/cell. The total moment comes out at 0.00 μB per cell.

a = 5.3173 Å, b = 5.3173 Å, c = 28.2391 Å
α = 90.00°, β = 90.00°, γ = 120.00°
Space group R-3m (No. 166, hexagonal axes)
One atom of each set of equivalent atoms:
K  0.0000  0.0000  0.0000
Na  0.0000  0.0000  0.2399
In  0.0000  0.0000  0.5000
Hg  0.0000  0.0000  0.1247
Hg  0.0000  0.0000  0.3876

=====

Computed, not measured: a geometry-optimized TlTcSeI2 structure at the GGA-PBE level of DFT.

Output
As for the total energy: -19.396 eV/cell. The total moment comes out at 1.11 μB per cell. The uncorrected formation energy is -0.0158 eV per atom.

a = 5.8076 Å, b = 5.8076 Å, c = 4.7164 Å
α = 90.00°, β = 90.00°, γ = 90.00°
Space group P4/mmm (No. 123)
One atom of each set of equivalent atoms:
Tl  0.0000  0.0000  0.0000
Tc  0.5000  0.5000  0.5000
Se  0.5000  0.5000  0.0000
I  0.0000  0.5000  0.5000

=====

Computed, not measured: a geometry-optimized ZnSi3C structure at the GGA-PBE level of DFT.

Output
As for the total energy: -16.105 eV/cell. The total moment comes out at 0.00 μB per cell. The uncorrected formation energy is 2.1324 eV per atom.

a = 4.5557 Å, b = 4.5557 Å, c = 4.5557 Å
α = 90.00°, β = 90.00°, γ = 90.00°
Space group Pm-3m (No. 221)
One atom of each set of equivalent atoms:
Zn  0.0000  0.0000  0.0000
Si  0.0000  0.0000  0.5000
C  0.5000  0.5000  0.5000

=====

Computed, not measured: a geometry-optimized TaNb4Ru5 structure at the GGA-PBE level of DFT.

Output
As for the formation energy: -0.2190 eV/atom. As for the total energy: -100.701 eV/cell. The total moment comes out at 0.00 μB per cell.

a = 3.0695 Å, b = 3.0695 Å, c = 17.1615 Å
α = 90.00°, β = 90.00°, γ = 90.00°
Space group P4/mmm (No. 123)
One atom of each set of equivalent atoms:
Ta  0.0000  0.0000  0.0000
Nb  0.0000  0.0000  0.2005
Nb  0.0000  0.0000  0.4005
Ru  0.5000  0.5000  0.0923
Ru  0.5000  0.5000  0.3081
Ru  0.5000  0.5000  0.5000

=====

> Look up the total moment of the third one.

0.00 μB per cell

=====

> The highest total moment belongs to which entry?

TlTcSeI2